w:
A plane-wave DFT calculation with PBE was carried out for crystalline Lu4TlFeN2 at its relaxed geometry.

a = 3.3762 Å, b = 3.3762 Å, c = 14.7995 Å
α = 90.00°, β = 90.00°, γ = 120.00°
Element x y z (fractional)
Lu 0.0000 0.0000 0.6790
N 0.3333 0.6667 0.2417
N 0.3333 0.6667 0.7583
Fe 0.0000 0.0000 0.0000
Tl 0.6667 0.3333 0.5000
Lu 0.6667 0.3333 0.1387
Lu 0.0000 0.0000 0.3210
Lu 0.6667 0.3333 0.8613

Spin magnetization: 1.4 μB/f.u.


x:
A plane-wave DFT calculation with PBE was carried out for crystalline Lu4TlFeN2 at its relaxed geometry.

a = 3.3721 Å, b = 3.3721 Å, c = 14.5320 Å
α = 90.00°, β = 90.00°, γ = 120.00°
Element x y z (fractional)
Tl 0.0000 0.0000 0.0000
Lu 0.6667 0.3333 0.8206
N 0.3333 0.6667 0.7416
Lu 0.0000 0.0000 0.6339
N 0.3333 0.6667 0.2584
Fe 0.6667 0.3333 0.5000
Lu 0.0000 0.0000 0.3661
Lu 0.6667 0.3333 0.1794

Spin magnetization: 1.0 μB/f.u.


Stability, highest: w


w:
A plane-wave DFT calculation with PBE was carried out for crystalline NaLuFeSe3 at its relaxed geometry.

a = 10.5876 Å, b = 3.9929 Å, c = 13.4885 Å
α = 90.00°, β = 90.00°, γ = 90.00°
Element x y z (fractional)
Lu 0.4830 0.7500 0.7430
Se 0.0470 0.2500 0.6193
Na 0.7197 0.7500 0.9951
Se 0.4530 0.7500 0.1193
Fe 0.7344 0.2500 0.7793
Se 0.4117 0.2500 0.6091
Se 0.9530 0.7500 0.3807
Se 0.7355 0.7500 0.6703
Se 0.5883 0.7500 0.3909
Se 0.0883 0.7500 0.1091
Lu 0.0170 0.2500 0.2430
Se 0.9117 0.2500 0.8909
Fe 0.7656 0.7500 0.2793
Se 0.7645 0.2500 0.1703
Na 0.2197 0.7500 0.5049
Se 0.5470 0.2500 0.8807
Se 0.2645 0.2500 0.3297
Lu 0.5170 0.2500 0.2570
Fe 0.2656 0.7500 0.2207
Se 0.2355 0.7500 0.8297
Na 0.7803 0.2500 0.4951
Lu 0.9830 0.7500 0.7570
Na 0.2803 0.2500 0.0049
Fe 0.2344 0.2500 0.7207

Spin magnetization: 4.0 μB/f.u.


x:
A plane-wave DFT calculation with PBE was carried out for crystalline NaLuFeSe3 at its relaxed geometry.

a = 13.7290 Å, b = 3.9290 Å, c = 10.8215 Å
α = 90.00°, β = 90.00°, γ = 90.00°
Element x y z (fractional)
Fe 0.9905 0.2500 0.4189
Lu 0.4853 0.7500 0.3432
Se 0.5995 0.7500 0.1167
Se 0.8655 0.2500 0.2614
Na 0.2708 0.7500 0.0504
Lu 0.0147 0.2500 0.8432
Fe 0.0095 0.7500 0.5811
Se 0.6345 0.7500 0.7614
Lu 0.5147 0.2500 0.6568
Na 0.2292 0.2500 0.5504
Se 0.3655 0.2500 0.2386
Se 0.1107 0.2500 0.0676
Lu 0.9853 0.7500 0.1568
Fe 0.5095 0.7500 0.9189
Se 0.1345 0.7500 0.7386
Se 0.6107 0.2500 0.4324
Na 0.7708 0.7500 0.4496
Se 0.0995 0.7500 0.3833
Se 0.9005 0.2500 0.6167
Fe 0.4905 0.2500 0.0811
Se 0.8893 0.7500 0.9324
Se 0.3893 0.7500 0.5676
Se 0.4005 0.2500 0.8833
Na 0.7292 0.2500 0.9496

Spin magnetization: 3.8 μB/f.u.


y:
A plane-wave DFT calculation with PBE was carried out for crystalline NaLuFeSe3 at its relaxed geometry.

a = 8.1599 Å, b = 4.1478 Å, c = 15.8827 Å
α = 90.00°, β = 90.00°, γ = 90.00°
Element x y z (fractional)
Se 0.1958 0.2500 0.7147
Na 0.9275 0.7500 0.7130
Lu 0.2439 0.7500 0.0440
Se 0.3736 0.2500 0.9437
Fe 0.1228 0.2500 0.8589
Se 0.6958 0.2500 0.7853
Se 0.6264 0.7500 0.0563
Lu 0.7439 0.7500 0.4560
Lu 0.7561 0.2500 0.9560
Se 0.8736 0.2500 0.5563
Se 0.4936 0.7500 0.5902
Lu 0.2561 0.2500 0.5440
Na 0.4275 0.7500 0.7870
Fe 0.8772 0.7500 0.1411
Se 0.8042 0.7500 0.2853
Se 0.0064 0.2500 0.0902
Na 0.5725 0.2500 0.2130
Se 0.1264 0.7500 0.4437
Se 0.9936 0.7500 0.9098
Se 0.3042 0.7500 0.2147
Na 0.0725 0.2500 0.2870
Fe 0.3772 0.7500 0.3589
Fe 0.6228 0.2500 0.6411
Se 0.5064 0.2500 0.4098

Spin magnetization: 4.0 μB/f.u.


Stability, highest: x


w:
A plane-wave DFT calculation with PBE was carried out for crystalline NaLuFeSe3 at its relaxed geometry.

a = 8.0053 Å, b = 3.9071 Å, c = 9.7291 Å
α = 90.00°, β = 106.42°, γ = 90.00°
Element x y z (fractional)
Se 0.2429 0.7500 0.0434
Se 0.7571 0.2500 0.9566
Fe 0.0698 0.2500 0.0872
Na 0.2365 0.2500 0.7731
Fe 0.9302 0.7500 0.9128
Lu 0.3221 0.7500 0.3540
Lu 0.6779 0.2500 0.6460
Se 0.4322 0.7500 0.6510
Se 0.5678 0.2500 0.3490
Se 0.0682 0.2500 0.3349
Se 0.9318 0.7500 0.6651
Na 0.7635 0.7500 0.2269

Spin magnetization: 3.8 μB/f.u.


x:
A plane-wave DFT calculation with PBE was carried out for crystalline NaLuFeSe3 at its relaxed geometry.

a = 7.0261 Å, b = 7.0261 Å, c = 10.5393 Å
α = 90.00°, β = 90.00°, γ = 32.89°
Element x y z (fractional)
Fe 0.4703 0.4703 0.2500
Lu 0.0000 0.0000 0.0000
Se 0.6362 0.6362 0.9333
Na 0.2432 0.2432 0.7500
Lu 0.0000 0.0000 0.5000
Na 0.7568 0.7568 0.2500
Se 0.9196 0.9196 0.7500
Se 0.3638 0.3638 0.4333
Se 0.6362 0.6362 0.5667
Fe 0.5297 0.5297 0.7500
Se 0.3638 0.3638 0.0667
Se 0.0804 0.0804 0.2500

Spin magnetization: 4.0 μB/f.u.


Stability, highest: w


w:
A plane-wave DFT calculation with PBE was carried out for crystalline NaLuFeTe3 at its relaxed geometry.

a = 11.2450 Å, b = 4.2443 Å, c = 14.3725 Å
α = 90.00°, β = 90.00°, γ = 90.00°
Element x y z (fractional)
Lu 0.0123 0.5000 0.2557
Fe 0.7594 0.0000 0.2194
Te 0.0505 0.5000 0.8851
Te 0.5787 0.0000 0.1055
Na 0.7724 0.5000 0.0115
Te 0.9495 0.0000 0.1149
Lu 0.4877 0.0000 0.7557
Fe 0.2406 0.5000 0.7806
Fe 0.2594 0.0000 0.2806
Te 0.7598 0.5000 0.3321
Te 0.0787 0.0000 0.3945
Na 0.7276 0.0000 0.5115
Te 0.7402 0.0000 0.8321
Te 0.2598 0.5000 0.1679
Na 0.2276 0.0000 0.9885
Te 0.5505 0.5000 0.6149
Na 0.2724 0.5000 0.4885
Lu 0.5123 0.5000 0.2443
Te 0.2402 0.0000 0.6679
Te 0.4213 0.5000 0.8945
Te 0.4495 0.0000 0.3851
Fe 0.7406 0.5000 0.7194
Lu 0.9877 0.0000 0.7443
Te 0.9213 0.5000 0.6055

Spin magnetization: 3.9 μB/f.u.


x:
A plane-wave DFT calculation with PBE was carried out for crystalline NaLuFeTe3 at its relaxed geometry.

a = 8.6618 Å, b = 4.1476 Å, c = 10.2127 Å
α = 90.00°, β = 105.92°, γ = 90.00°
Element x y z (fractional)
Lu 0.3256 0.7500 0.8512
Te 0.7547 0.2500 0.4615
Na 0.7787 0.7500 0.7256
Fe 0.9356 0.7500 0.4202
Te 0.5732 0.2500 0.8435
Na 0.2213 0.2500 0.2744
Te 0.0728 0.2500 0.8399
Te 0.2453 0.7500 0.5385
Lu 0.6744 0.2500 0.1488
Te 0.9272 0.7500 0.1601
Te 0.4268 0.7500 0.1565
Fe 0.0644 0.2500 0.5798

Spin magnetization: 3.6 μB/f.u.


Stability, highest: x


w:
A plane-wave DFT calculation with PBE was carried out for crystalline NaLuFeTe at its relaxed geometry.

a = 5.0232 Å, b = 5.0232 Å, c = 5.0232 Å
α = 60.00°, β = 60.00°, γ = 60.00°
Element x y z (fractional)
Te 0.0000 0.0000 0.0000
Na 0.7500 0.7500 0.7500
Lu 0.2500 0.2500 0.2500
Fe 0.5000 0.5000 0.5000

Spin magnetization: 2.0 μB/f.u.


x:
A plane-wave DFT calculation with PBE was carried out for crystalline NaLuFeTe at its relaxed geometry.

a = 4.6888 Å, b = 4.6888 Å, c = 4.6888 Å
α = 60.00°, β = 60.00°, γ = 60.00°
Element x y z (fractional)
Na 0.7500 0.7500 0.7500
Fe 0.2500 0.2500 0.2500
Te 0.0000 0.0000 0.0000
Lu 0.5000 0.5000 0.5000

Spin magnetization: 0.0 μB/f.u.


Stability, highest: w


w:
A plane-wave DFT calculation with PBE was carried out for crystalline LuFeNiSb at its relaxed geometry.

a = 4.5143 Å, b = 4.5143 Å, c = 4.5143 Å
α = 60.00°, β = 60.00°, γ = 60.00°
Element x y z (fractional)
Sb 0.0000 0.0000 0.0000
Fe 0.7500 0.7500 0.7500
Ni 0.2500 0.2500 0.2500
Lu 0.5000 0.5000 0.5000

Spin magnetization: 1.8 μB/f.u.


x:
A plane-wave DFT calculation with PBE was carried out for crystalline LuFeNiSb at its relaxed geometry.

a = 4.6503 Å, b = 4.6503 Å, c = 4.6503 Å
α = 60.00°, β = 60.00°, γ = 60.00°
Element x y z (fractional)
Fe 0.5000 0.5000 0.5000
Lu 0.2500 0.2500 0.2500
Sb 0.0000 0.0000 0.0000
Ni 0.7500 0.7500 0.7500

Spin magnetization: 2.5 μB/f.u.


Stability, highest: w


w:
A plane-wave DFT calculation with PBE was carried out for crystalline LuTlFeNi at its relaxed geometry.

a = 4.6024 Å, b = 4.6024 Å, c = 4.6024 Å
α = 60.00°, β = 60.00°, γ = 60.00°
Element x y z (fractional)
Tl 0.0000 0.0000 0.0000
Ni 0.2500 0.2500 0.2500
Lu 0.5000 0.5000 0.5000
Fe 0.7500 0.7500 0.7500

Spin magnetization: 2.2 μB/f.u.


x:
A plane-wave DFT calculation with PBE was carried out for crystalline LuTlFeNi at its relaxed geometry.

a = 4.6805 Å, b = 4.6805 Å, c = 4.6805 Å
α = 60.00°, β = 60.00°, γ = 60.00°
Element x y z (fractional)
Lu 0.2500 0.2500 0.2500
Fe 0.7500 0.7500 0.7500
Ni 0.5000 0.5000 0.5000
Tl 0.0000 0.0000 0.0000

Spin magnetization: 2.9 μB/f.u.


Stability, highest: w


w:
A plane-wave DFT calculation with PBE was carried out for crystalline LuFeOs at its relaxed geometry.

a = 4.3922 Å, b = 4.3922 Å, c = 4.3922 Å
α = 60.00°, β = 60.00°, γ = 60.00°
Element x y z (fractional)
Lu 0.7500 0.7500 0.7500
Fe 0.2500 0.2500 0.2500
Os 0.0000 0.0000 0.0000

Spin magnetization: 3.6 μB/f.u.


x:
A plane-wave DFT calculation with PBE was carried out for crystalline LuFeOs at its relaxed geometry.

a = 4.3947 Å, b = 4.3947 Å, c = 4.3947 Å
α = 60.00°, β = 60.00°, γ = 60.00°
Element x y z (fractional)
Fe 0.2500 0.2500 0.2500
Os 0.7500 0.7500 0.7500
Lu 0.0000 0.0000 0.0000

Spin magnetization: 3.5 μB/f.u.


Stability, highest: w


w:
A plane-wave DFT calculation with PBE was carried out for crystalline LuFeOsPb at its relaxed geometry.

a = 4.6754 Å, b = 4.6754 Å, c = 4.6754 Å
α = 60.00°, β = 60.00°, γ = 60.00°
Element x y z (fractional)
Os 0.2500 0.2500 0.2500
Lu 0.5000 0.5000 0.5000
Fe 0.7500 0.7500 0.7500
Pb 0.0000 0.0000 0.0000

Spin magnetization: 1.5 μB/f.u.


x:
A plane-wave DFT calculation with PBE was carried out for crystalline LuFeOsPb at its relaxed geometry.

a = 4.6916 Å, b = 4.6916 Å, c = 4.6916 Å
α = 60.00°, β = 60.00°, γ = 60.00°
Element x y z (fractional)
Pb 0.0000 0.0000 0.0000
Os 0.5000 0.5000 0.5000
Lu 0.2500 0.2500 0.2500
Fe 0.7500 0.7500 0.7500

Spin magnetization: 4.0 μB/f.u.


Stability, highest: w


w:
A plane-wave DFT calculation with PBE was carried out for crystalline LuFeSiOs at its relaxed geometry.

a = 4.4923 Å, b = 4.4923 Å, c = 4.4923 Å
α = 60.00°, β = 60.00°, γ = 60.00°
Element x y z (fractional)
Os 0.5000 0.5000 0.5000
Fe 0.7500 0.7500 0.7500
Lu 0.2500 0.2500 0.2500
Si 0.0000 0.0000 0.0000

Spin magnetization: 3.9 μB/f.u.


x:
A plane-wave DFT calculation with PBE was carried out for crystalline LuFeSiOs at its relaxed geometry.

a = 4.3617 Å, b = 4.3617 Å, c = 4.3617 Å
α = 60.00°, β = 60.00°, γ = 60.00°
Element x y z (fractional)
Fe 0.7500 0.7500 0.7500
Os 0.2500 0.2500 0.2500
Si 0.0000 0.0000 0.0000
Lu 0.5000 0.5000 0.5000

Spin magnetization: 0.9 μB/f.u.


Stability, highest: x


w:
A plane-wave DFT calculation with PBE was carried out for crystalline LuFeSnOs at its relaxed geometry.

a = 4.6783 Å, b = 4.6783 Å, c = 4.6783 Å
α = 60.00°, β = 60.00°, γ = 60.00°
Element x y z (fractional)
Sn 0.0000 0.0000 0.0000
Lu 0.2500 0.2500 0.2500
Os 0.5000 0.5000 0.5000
Fe 0.7500 0.7500 0.7500

Spin magnetization: 3.9 μB/f.u.


x:
A plane-wave DFT calculation with PBE was carried out for crystalline LuFeSnOs at its relaxed geometry.

a = 4.5782 Å, b = 4.5782 Å, c = 4.5782 Å
α = 60.00°, β = 60.00°, γ = 60.00°
Element x y z (fractional)
Lu 0.5000 0.5000 0.5000
Os 0.2500 0.2500 0.2500
Sn 0.0000 0.0000 0.0000
Fe 0.7500 0.7500 0.7500

Spin magnetization: 0.9 μB/f.u.


Stability, highest: x